Entry 1:
Computed, not measured: Tb3HoSi4 after structural relaxation at the PBE level of DFT.

The uncorrected formation energy comes out at -0.57 eV per atom. Its total energy is -5.59 eV per atom. The value obtained for the mass density is 6.42 g/cm3. The total magnetic moment is 0.00 μB per formula unit. As for the crystal system: orthorhombic.

Cell: 8.6371 8.6371 8.6371 Å, 153.20 137.61 50.86°
Closest atoms and distances in Å follow each position.
Positions (direct):
1 Tb 0.0000 0.0000 0.0000  8 Si 3.09
2 Tb 0.3059 0.8059 0.5000  6 Si 2.96-2.97
3 Tb 0.6941 0.1941 0.5000  6 Si 2.96-2.97
4 Ho 0.5000 0.5000 0.0000  4 Si 2.83
5 Si 0.0548 0.3688 0.6861  1 Si 2.32
6 Si 0.3173 0.6312 0.6861  1 Si 2.32
7 Si 0.6827 0.3688 0.3139  1 Si 2.32
8 Si 0.9452 0.6312 0.3139  1 Si 2.32



Entry 2:
Computed, not measured: TbHo2Si2 after structural relaxation at the PBE level of DFT.

For the offset from the most stable computed form, the calculation gives 0.0 meV/atom. The uncorrected formation energy comes out at -0.69 eV per atom. Its total energy is -5.61 eV per atom. The value obtained for the mass density is 7.70 g/cm3. The total magnetic moment is 0.00 μB per formula unit. As for the crystal system: tetragonal.

Cell: 7.4929 7.4929 4.1839 Å, 90.00 90.00 90.00°
Closest atoms and distances in Å follow each position.
Positions (direct):
1 Tb 0.0000 0.0000 0.0000  4 Si 3.01
2 Tb 0.5000 0.5000 0.0000  4 Si 3.01
3 Ho 0.1759 0.3241 0.5000  6 Si 3.04-3.06
4 Ho 0.3241 0.8241 0.5000  6 Si 3.04-3.06
5 Ho 0.6759 0.1759 0.5000  6 Si 3.04-3.06
6 Ho 0.8241 0.6759 0.5000  6 Si 3.04-3.06
7 Si 0.1160 0.6160 0.0000  1 Si 2.46
8 Si 0.3840 0.1160 0.0000  1 Si 2.46
9 Si 0.6160 0.8840 0.0000  1 Si 2.46
10 Si 0.8840 0.3840 0.0000  1 Si 2.46



Entry 3:
Computed, not measured: Tb5HoSi4 after structural relaxation at the PBE level of DFT.

The uncorrected formation energy comes out at -0.53 eV per atom. Its total energy is -5.47 eV per atom. The value obtained for the mass density is 7.02 g/cm3. The total magnetic moment is 0.00 μB per formula unit. As for the crystal system: monoclinic.

Cell: 7.9427 7.9427 6.8119 Å, 90.13 90.13 36.14°
Closest atoms and distances in Å follow each position.
Positions (direct):
1 Tb 0.0000 0.0000 0.0000  6 Si 3.01-3.17
2 Tb 0.3352 0.3352 0.0044  5 Si 2.94-3.12
3 Tb 0.3349 0.3349 0.4936  5 Si 2.92-3.10
4 Tb 0.6651 0.6651 0.5064  5 Si 2.92-3.10
5 Tb 0.6648 0.6648 0.9956  5 Si 2.94-3.12
6 Ho 0.0000 0.0000 0.5000  6 Si 2.99-3.17
7 Si 0.1770 0.1770 0.7498  7 Tb 2.95-3.17, 1 Ho 3.17
8 Si 0.4912 0.4912 0.7474  6 Tb 2.92-3.12, 2 Ho 2.99
9 Si 0.5088 0.5088 0.2526  6 Tb 2.92-3.12, 2 Ho 2.99
10 Si 0.8230 0.8230 0.2502  7 Tb 2.95-3.17, 1 Ho 3.17



Entry 4:
Computed, not measured: TbHoZnSi after structural relaxation at the PBE level of DFT.

For the offset from the most stable computed form, the calculation gives 0.0 meV/atom. The uncorrected formation energy comes out at -0.57 eV per atom. Its total energy is -4.54 eV per atom. The value obtained for the mass density is 7.56 g/cm3. The total magnetic moment is 0.34 μB per formula unit. As for the crystal system: orthorhombic.

Cell: 4.0590 5.7949 5.7949 Å, 42.25 90.00 90.00°
Closest atoms and distances in Å follow each position.
Positions (direct):
1 Tb 0.0000 0.0000 0.0000  4 Zn 3.02, 3 Si 3.06-3.14
2 Ho 0.5000 0.2838 0.2838  4 Si 3.00, 3 Zn 3.09-3.13
3 Zn 0.5000 0.5732 0.5732  2 Si 2.56
4 Si 0.0000 0.7172 0.7172  2 Zn 2.56



Entry 5:
Computed, not measured: TbHoZnSi after structural relaxation at the PBE level of DFT.

For the offset from the most stable computed form, the calculation gives 108.1 meV/atom. The uncorrected formation energy comes out at -0.46 eV per atom. Its total energy is -4.44 eV per atom. The value obtained for the mass density is 7.97 g/cm3. The total magnetic moment is 0.00 μB per formula unit. As for the crystal system: cubic.

Cell: 4.9729 4.9729 4.9729 Å, 60.00 60.00 60.00°
Closest atoms and distances in Å follow each position.
Positions (direct):
1 Tb 0.0000 0.0000 0.0000  4 Zn 3.05, 4 Si 3.05
2 Ho 0.5000 0.5000 0.5000  4 Si 3.05, 4 Zn 3.05
3 Zn 0.7500 0.7500 0.7500  4 Ho 3.05, 4 Tb 3.05
4 Si 0.2500 0.2500 0.2500  4 Ho 3.05, 4 Tb 3.05



Entry 6:
Computed, not measured: HoSi2Tc3 after structural relaxation at the PBE level of DFT.

The uncorrected formation energy comes out at -0.49 eV per atom. Its total energy is -8.25 eV per atom. The value obtained for the mass density is 8.54 g/cm3. The total magnetic moment is 0.00 μB per formula unit. As for the crystal system: monoclinic.

Cell: 8.2794 8.2794 9.4385 Å, 104.79 104.79 28.78°
Closest atoms and distances in Å follow each position.
Positions (direct):
1 Ho 0.0000 0.0000 0.0000  6 Si 3.03-3.16, 6 Tc 3.18-3.33
2 Ho 0.1602 0.1602 0.7231  6 Si 3.00-3.07, 4 Tc 3.08-3.26
3 Ho 0.8398 0.8398 0.2769  6 Si 3.00-3.07, 4 Tc 3.08-3.26
4 Si 0.2029 0.2029 0.1259  6 Tc 2.41-2.67
5 Si 0.3496 0.3496 0.5124  5 Tc 2.39-2.50
6 Si 0.4636 0.4636 0.2110  5 Tc 2.49-2.63
7 Si 0.5364 0.5364 0.7890  5 Tc 2.49-2.63
8 Si 0.6504 0.6504 0.4876  5 Tc 2.39-2.50
9 Si 0.7971 0.7971 0.8741  6 Tc 2.41-2.67
10 Tc 0.0386 0.0386 0.3649  3 Tc 2.55-2.58, 4 Si 2.62-2.77
11 Tc 0.2000 0.2000 0.3840  4 Si 2.39-2.50, 1 Tc 2.55
12 Tc 0.3266 0.3266 0.0103  4 Si 2.41-2.50, 1 Tc 2.46
13 Tc 0.3769 0.3769 0.7855  3 Tc 2.46-2.70, 4 Si 2.50-2.67
14 Tc 0.5000 0.5000 0.5000  4 Si 2.45-2.63, 4 Tc 2.58
15 Tc 0.6231 0.6231 0.2145  3 Tc 2.46-2.70, 4 Si 2.50-2.67
16 Tc 0.6734 0.6734 0.9897  4 Si 2.41-2.50, 1 Tc 2.46
17 Tc 0.8000 0.8000 0.6160  4 Si 2.39-2.50, 1 Tc 2.55
18 Tc 0.9614 0.9614 0.6351  3 Tc 2.55-2.58, 4 Si 2.62-2.77



Entry 7:
Computed, not measured: HoSi2Tc after structural relaxation at the PBE level of DFT.

For the offset from the most stable computed form, the calculation gives 0.0 meV/atom. The uncorrected formation energy comes out at -0.69 eV per atom. Its total energy is -7.14 eV per atom. The value obtained for the mass density is 7.54 g/cm3. The total magnetic moment is 0.00 μB per formula unit. As for the crystal system: orthorhombic.

Cell: 7.1804 3.9097 10.0174 Å, 90.00 90.00 90.00°
Closest atoms and distances in Å follow each position.
Positions (direct):
1 Ho 0.1452 0.2500 0.1280  9 Si 2.96-3.15, 2 Tc 3.30
2 Ho 0.3548 0.7500 0.6280  9 Si 2.96-3.15, 2 Tc 3.30
3 Ho 0.6452 0.2500 0.3720  9 Si 2.96-3.15, 2 Tc 3.30
4 Ho 0.8548 0.7500 0.8720  9 Si 2.96-3.15, 2 Tc 3.30
5 Si 0.1529 0.2500 0.8138  2 Tc 2.40-2.52, 2 Si 2.47
6 Si 0.2132 0.2500 0.4292  3 Tc 2.42-2.45, 2 Si 2.47
7 Si 0.2868 0.7500 0.9292  3 Tc 2.42-2.45, 2 Si 2.47
8 Si 0.3471 0.7500 0.3138  2 Tc 2.40-2.52, 2 Si 2.47
9 Si 0.6529 0.2500 0.6862  2 Tc 2.40-2.52, 2 Si 2.47
10 Si 0.7132 0.2500 0.0708  3 Tc 2.42-2.45, 2 Si 2.47
11 Si 0.7868 0.7500 0.5708  3 Tc 2.42-2.45, 2 Si 2.47
12 Si 0.8471 0.7500 0.1862  2 Tc 2.40-2.52, 2 Si 2.47
13 Tc 0.0143 0.7500 0.3931  5 Si 2.40-2.52
14 Tc 0.4857 0.2500 0.8931  5 Si 2.40-2.52
15 Tc 0.5143 0.7500 0.1069  5 Si 2.40-2.52
16 Tc 0.9857 0.2500 0.6069  5 Si 2.40-2.52



Entry 8:
Computed, not measured: Ho2Si3Tc2 after structural relaxation at the PBE level of DFT.

The uncorrected formation energy comes out at -0.60 eV per atom. Its total energy is -7.20 eV per atom. The value obtained for the mass density is 7.67 g/cm3. The total magnetic moment is 0.00 μB per formula unit. As for the crystal system: monoclinic.

Cell: 5.9995 5.9995 6.9501 Å, 124.70 124.70 41.78°
Closest atoms and distances in Å follow each position.
Positions (direct):
1 Ho 0.0773 0.0773 0.3297  6 Si 2.86-3.18, 2 Tc 3.11-3.16
2 Ho 0.9227 0.9227 0.6703  6 Si 2.86-3.18, 2 Tc 3.11-3.16
3 Si 0.3628 0.3628 0.3188  3 Tc 2.46-2.50, 1 Si 2.52
4 Si 0.5000 0.5000 0.0000  2 Tc 2.24
5 Si 0.6372 0.6372 0.6812  3 Tc 2.46-2.50, 1 Si 2.52
6 Tc 0.2666 0.2666 0.8929  4 Si 2.24-2.50
7 Tc 0.7334 0.7334 0.1071  4 Si 2.24-2.50



Entry 9:
Computed, not measured: HoSiTc after structural relaxation at the PBE level of DFT.

For the offset from the most stable computed form, the calculation gives 0.0 meV/atom. The uncorrected formation energy comes out at -0.60 eV per atom. Its total energy is -7.39 eV per atom. The value obtained for the mass density is 8.84 g/cm3. The total magnetic moment is 0.00 μB per formula unit. As for the crystal system: orthorhombic.

Cell: 7.0769 4.3353 7.1251 Å, 90.00 90.00 90.00°
Closest atoms and distances in Å follow each position.
Positions (direct):
1 Ho 0.0111 0.2500 0.1865  4 Tc 2.93-2.99, 6 Si 3.00-3.27
2 Ho 0.4889 0.7500 0.6865  4 Tc 2.93-2.99, 6 Si 3.00-3.27
3 Ho 0.5111 0.2500 0.3135  4 Tc 2.93-2.99, 6 Si 3.00-3.27
4 Ho 0.9889 0.7500 0.8135  4 Tc 2.93-2.99, 6 Si 3.00-3.27
5 Si 0.1957 0.2500 0.6068  4 Tc 2.50-2.58
6 Si 0.3043 0.7500 0.1068  4 Tc 2.50-2.58
7 Si 0.6957 0.2500 0.8932  4 Tc 2.50-2.58
8 Si 0.8043 0.7500 0.3932  4 Tc 2.50-2.58
9 Tc 0.1551 0.7500 0.4366  4 Si 2.50-2.58
10 Tc 0.3449 0.2500 0.9366  4 Si 2.50-2.58
11 Tc 0.6551 0.7500 0.0634  4 Si 2.50-2.58
12 Tc 0.8449 0.2500 0.5634  4 Si 2.50-2.58



Entry 10:
Computed, not measured: HoSiTc after structural relaxation at the PBE level of DFT.

For the offset from the most stable computed form, the calculation gives 122.0 meV/atom. The uncorrected formation energy comes out at -0.48 eV per atom. Its total energy is -7.27 eV per atom. The value obtained for the mass density is 8.91 g/cm3. The total magnetic moment is 0.00 μB per formula unit. As for the crystal system: tetragonal.

Cell: 5.5423 5.5423 5.5423 Å, 145.55 145.55 49.52°
Closest atoms and distances in Å follow each position.
Positions (direct):
1 Ho 0.0000 0.0000 0.0000  5 Si 2.98-3.10, 5 Tc 3.02-3.07, 4 Ho 3.28
2 Si 0.2958 0.2958 0.0000  4 Tc 2.51
3 Tc 0.7002 0.7002 0.0000  4 Si 2.51



Entry 11:
Computed, not measured: Ho3Si4Tc2 after structural relaxation at the PBE level of DFT.

The uncorrected formation energy comes out at -0.72 eV per atom. Its total energy is -6.96 eV per atom. The value obtained for the mass density is 7.82 g/cm3. The total magnetic moment is 0.00 μB per formula unit. As for the crystal system: monoclinic.

Cell: 5.7319 5.7319 8.1236 Å, 108.09 108.09 42.69°
Closest atoms and distances in Å follow each position.
Positions (direct):
1 Ho 0.0000 0.0000 0.0000  8 Si 3.01-3.29
2 Ho 0.3775 0.3775 0.3031  7 Si 2.89-3.05, 4 Tc 3.07-3.12
3 Ho 0.6225 0.6225 0.6969  7 Si 2.89-3.05, 4 Tc 3.07-3.12
4 Si 0.0980 0.0980 0.4170  3 Tc 2.39-2.49
5 Si 0.2846 0.2846 0.9261  1 Tc 2.40, 2 Si 2.63
6 Si 0.7154 0.7154 0.0739  1 Tc 2.40, 2 Si 2.63
7 Si 0.9020 0.9020 0.5830  3 Tc 2.39-2.49
8 Tc 0.3201 0.3201 0.6495  4 Si 2.39-2.49
9 Tc 0.6799 0.6799 0.3505  4 Si 2.39-2.49



Entry 12:
Computed, not measured: HoSiTc after structural relaxation at the PBE level of DFT.

For the offset from the most stable computed form, the calculation gives 7.0 meV/atom. The uncorrected formation energy comes out at -0.60 eV per atom. Its total energy is -7.38 eV per atom. The value obtained for the mass density is 8.17 g/cm3. The total magnetic moment is 0.00 μB per formula unit. As for the crystal system: tetragonal.

Cell: 4.3231 4.3231 6.3337 Å, 90.00 90.00 90.00°
Closest atoms and distances in Å follow each position.
Positions (direct):
1 Ho 0.2500 0.2500 0.1859  4 Tc 2.94, 6 Si 3.14-3.20
2 Ho 0.7500 0.7500 0.8141  4 Tc 2.94, 6 Si 3.14-3.20
3 Si 0.2500 0.2500 0.6908  4 Tc 2.48
4 Si 0.7500 0.7500 0.3092  4 Tc 2.48
5 Tc 0.2500 0.7500 0.5000  4 Si 2.48
6 Tc 0.7500 0.2500 0.5000  4 Si 2.48